(1)
VASP calculation (GGA-PBE) on an optimized crystal structure of Er2Sc2CCl5.

The structure in POSCAR format:
```
Er2Sc2CCl5
1.0
8.292 -1.800 0.000
8.292 1.800 0.000
-1.778 0.000 7.500
C Cl Er Sc
1 5 2 2
Cartesian
8.292 0.000 0.000
13.488 0.000 1.088
2.167 0.000 2.418
7.403 0.000 3.750
12.639 0.000 5.082
1.318 0.000 6.412
16.188 0.000 1.572
-1.382 0.000 5.927
10.453 0.000 0.568
4.353 0.000 6.932
```

(2)
VASP calculation (GGA-PBE) on an optimized crystal structure of ErScTlNi2.

The structure in POSCAR format:
```
ErScTlNi2
1.0
3.542 0.000 0.000
0.000 1.905 7.078
0.000 -1.905 7.078
Er Ni Sc Tl
1 2 1 1
Cartesian
0.000 0.000 9.061
1.771 0.000 2.847
1.771 0.000 11.381
0.000 0.000 5.077
1.771 0.000 14.102
```

| no. | electronic total energy (eV/atom) |
| --- | --- |
| 1 | -5.719 |
| 2 | -5.340 |